#A
A plane-wave DFT calculation with GGA-PBE was carried out for an optimized crystal structure of ZrRhCl2.

**Symmetry**: Imm2 (44)

Geometry as extended XYZ:
```
4
Lattice="-1.6127 2.4266 5.7697 1.6127 -2.4266 5.7697 1.6127 2.4266 -5.7697" Properties=species:S:1:pos:R:3 pbc="T T T"
Zr 0.0000 0.0000 0.0000
Rh 0.0000 2.4266 3.8888
Cl 1.6127 0.0000 2.1935
Cl 0.0000 0.0000 5.7335
```

=====

#B
A plane-wave DFT calculation with GGA-PBE was carried out for an optimized crystal structure of ZrRhCl2.

**Symmetry**: C2/m (12)

Geometry as extended XYZ:
```
4
Lattice="6.8501 -1.7033 0.0000 6.8501 1.7033 0.0000 -0.3124 0.0000 4.2292" Properties=species:S:1:pos:R:3 pbc="T T T"
Zr 0.0000 0.0000 0.0000
Rh 6.6939 0.0000 2.1146
Cl 4.6518 0.0000 3.3242
Cl 8.7360 0.0000 0.9050
```

=====

#C
A plane-wave DFT calculation with GGA-PBE was carried out for an optimized crystal structure of ZrRhCl2.

**Symmetry**: Cmmm (65)

Geometry as extended XYZ:
```
4
Lattice="1.5258 -2.9676 0.0000 1.5258 2.9676 0.0000 0.0000 0.0000 8.6748" Properties=species:S:1:pos:R:3 pbc="T T T"
Zr 0.0000 0.0000 0.0000
Rh 0.0000 0.0000 4.3374
Cl 1.5258 0.0000 2.1212
Cl 1.5258 0.0000 6.5536
```

=====

#D
A plane-wave DFT calculation with GGA-PBE was carried out for an optimized crystal structure of ZrRhCl2.

**Symmetry**: P4/mmm (123)

Geometry as extended XYZ:
```
4
Lattice="3.2682 0.0000 0.0000 0.0000 3.2682 0.0000 0.0000 0.0000 6.2617" Properties=species:S:1:pos:R:3 pbc="T T T"
Zr 0.0000 0.0000 0.0000
Rh 0.0000 0.0000 3.1309
Cl 1.6341 1.6341 1.4678
Cl 1.6341 1.6341 4.7939
```

=====

The structure with the most favorable energy is #B; the runner-up is 0.326 eV/atom above it.

=====

#A
A plane-wave DFT calculation with GGA-PBE was carried out for an optimized crystal structure of ZrRhCl2.

**Symmetry**: Cm (8)

Geometry as extended XYZ:
```
4
Lattice="6.3129 -1.6382 0.0000 6.3129 1.6382 0.0000 -1.4711 0.0000 5.4881" Properties=species:S:1:pos:R:3 pbc="T T T"
Zr 0.0000 0.0000 0.0000
Rh 4.6937 0.0000 0.9596
Cl 4.3840 0.0000 3.4667
Cl 8.2333 0.0000 0.7498
```

=====

#B
A plane-wave DFT calculation with GGA-PBE was carried out for an optimized crystal structure of ZrRhCl2.

**Symmetry**: Pmmm (47)

Geometry as extended XYZ:
```
4
Lattice="3.1037 0.0000 0.0000 0.0000 4.2922 0.0000 0.0000 0.0000 5.3282" Properties=species:S:1:pos:R:3 pbc="T T T"
Zr 0.0000 0.0000 0.0000
Rh 1.5519 0.0000 2.6641
Cl 0.0000 2.1461 2.6641
Cl 1.5519 2.1461 0.0000
```

=====

#C
A plane-wave DFT calculation with GGA-PBE was carried out for an optimized crystal structure of ZrRhCl2.

**Symmetry**: F-43m (216)

Geometry as extended XYZ:
```
4
Lattice="0.0000 3.2946 3.2946 3.2946 0.0000 3.2946 3.2946 3.2946 0.0000" Properties=species:S:1:pos:R:3 pbc="T T T"
Zr 0.0000 0.0000 0.0000
Rh 1.6473 1.6473 1.6473
Cl 3.2946 3.2946 3.2946
Cl 4.9419 4.9419 4.9419
```

=====

#D
A plane-wave DFT calculation with GGA-PBE was carried out for an optimized crystal structure of ZrRhCl2.

**Symmetry**: Pm (6)

Geometry as extended XYZ:
```
4
Lattice="3.7354 0.0000 0.0000 0.0000 3.2573 0.0000 -1.5723 0.0000 7.8133" Properties=species:S:1:pos:R:3 pbc="T T T"
Zr 0.0000 0.0000 0.0000
Rh 1.8343 1.6286 1.1799
Cl 0.2033 0.0000 2.5831
Cl 2.1178 1.6286 5.8260
```

=====

The structure with the most favorable energy is #D; the runner-up is 0.157 eV/atom above it.

=====

#A
A plane-wave DFT calculation with GGA-PBE was carried out for an optimized crystal structure of ZrRhCl2.

**Symmetry**: R3m (160)

Geometry as extended XYZ:
```
4
Lattice="1.7616 1.0171 8.3740 -1.7616 1.0171 8.3740 0.0000 -2.0341 8.3740" Properties=species:S:1:pos:R:3 pbc="T T T"
Zr 0.0000 0.0000 0.0000
Rh 0.0000 0.0000 18.3758
Cl 0.0000 0.0000 6.5683
Cl 0.0000 0.0000 11.7479
```

=====

#B
A plane-wave DFT calculation with GGA-PBE was carried out for an optimized crystal structure of ZrRhCl2.

**Symmetry**: I-4m2 (119)

Geometry as extended XYZ:
```
4
Lattice="-2.0763 2.0763 4.0782 2.0763 -2.0763 4.0782 2.0763 2.0763 -4.0782" Properties=species:S:1:pos:R:3 pbc="T T T"
Zr 0.0000 0.0000 0.0000
Rh 0.0000 2.0763 2.0391
Cl 2.0763 0.0000 2.0391
Cl 0.0000 0.0000 4.0782
```

=====

The structure with the most favorable energy is #A; the runner-up is 0.478 eV/atom above it.

=====

#A
A plane-wave DFT calculation with GGA-PBE was carried out for an optimized crystal structure of ZrRhCl3.

**Symmetry**: Pm-3m (221)

Geometry as extended XYZ:
```
5
Lattice="5.0099 0.0000 0.0000 0.0000 5.0099 0.0000 0.0000 0.0000 5.0099" Properties=species:S:1:pos:R:3 pbc="T T T"
Zr 0.0000 0.0000 0.0000
Rh 2.5050 2.5050 2.5050
Cl 0.0000 0.0000 2.5050
Cl 0.0000 2.5050 0.0000
Cl 2.5050 0.0000 0.0000
```

=====

#B
A plane-wave DFT calculation with GGA-PBE was carried out for an optimized crystal structure of ZrRhCl3.

**Symmetry**: Pm-3m (221)

Geometry as extended XYZ:
```
5
Lattice="4.8008 0.0000 0.0000 0.0000 4.8008 0.0000 0.0000 0.0000 4.8008" Properties=species:S:1:pos:R:3 pbc="T T T"
Zr 0.0000 0.0000 0.0000
Rh 2.4004 2.4004 2.4004
Cl 0.0000 2.4004 2.4004
Cl 2.4004 0.0000 2.4004
Cl 2.4004 2.4004 0.0000
```

=====

The structure with the most favorable energy is #A; the runner-up is 0.264 eV/atom above it.

=====

#A
A plane-wave DFT calculation with GGA-PBE was carried out for an optimized crystal structure of ZrRh3Cl.

**Symmetry**: Pm-3m (221)

Geometry as extended XYZ:
```
5
Lattice="4.8861 0.0000 0.0000 0.0000 4.8861 0.0000 0.0000 0.0000 4.8861" Properties=species:S:1:pos:R:3 pbc="T T T"
Zr 0.0000 0.0000 0.0000
Rh 0.0000 0.0000 2.4430
Rh 0.0000 2.4430 0.0000
Rh 2.4430 0.0000 0.0000
Cl 2.4430 2.4430 2.4430
```

=====

#B
A plane-wave DFT calculation with GGA-PBE was carried out for an optimized crystal structure of ZrRh3Cl.

**Symmetry**: Pm-3m (221)

Geometry as extended XYZ:
```
5
Lattice="4.4346 0.0000 0.0000 0.0000 4.4346 0.0000 0.0000 0.0000 4.4346" Properties=species:S:1:pos:R:3 pbc="T T T"
Zr 0.0000 0.0000 0.0000
Rh 0.0000 2.2173 2.2173
Rh 2.2173 0.0000 2.2173
Rh 2.2173 2.2173 0.0000
Cl 2.2173 2.2173 2.2173
```

=====

The structure with the most favorable energy is #B; the runner-up is 0.757 eV/atom above it.

=====

#A
A plane-wave DFT calculation with GGA-PBE was carried out for an optimized crystal structure of RuCl.

**Symmetry**: I4/m (87)

Geometry as extended XYZ:
```
8
Lattice="-5.1658 5.1658 1.7975 5.1658 -5.1658 1.7975 5.1658 5.1658 -1.7975" Properties=species:S:1:pos:R:3 pbc="T T T"
Ru 3.0195 1.9715 0.0000
Ru 3.1944 -2.1463 1.7975
Ru 1.9715 7.3122 0.0000
Ru 2.1463 3.1944 1.7975
Cl 5.3306 2.4293 0.0000
Cl 2.4293 5.0010 0.0000
Cl 2.7365 0.1648 1.7975
Cl -0.1648 2.7365 1.7975
```

=====

#B
A plane-wave DFT calculation with GGA-PBE was carried out for an optimized crystal structure of RuCl.

**Symmetry**: P1 (1)

Geometry as extended XYZ:
```
4
Lattice="3.0372 0.0000 0.0000 0.7260 4.4164 0.0000 1.2121 1.1337 5.5622" Properties=species:S:1:pos:R:3 pbc="T T T"
Ru 0.0000 0.0000 0.0000
Ru 2.2125 3.7352 1.8944
Cl 1.4506 1.2990 3.1319
Cl 2.7546 2.2449 0.0835
```

=====

The structure with the most favorable energy is #A; the runner-up is 0.008 eV/atom above it.